This record from Alexandria describes a relaxed structure of TbPrHgTe. The functional is PBE.

```
4
Lattice="4.274 0.000 0.000 2.137 3.702 0.000 2.137 1.234 7.806" Properties=species:S:1:pos:R:3 pbc="T T T"
Tb 2.137 1.234 7.791
Pr 4.274 2.468 3.914
Hg 2.137 1.234 1.870
Te 6.412 3.702 5.940
```

Calculated values
- Space group: R3m (160)
- Uncorrected formation energy: -0.90 eV per atom
- Calculated volume: 30.9 Å³ per atom